A plane-wave DFT calculation with PBE was carried out for a relaxed structure of Tm4GeP2S. Values from VASP.

Output
The value obtained for the density of states at the Fermi level is 0.200 states/eV per atom. As for the crystal system: monoclinic. As for the formation energy without anion corrections: -1.527 eV per atom.

Geometry as Quantum ESPRESSO input:
```
&SYSTEM
  ibrav = 0, nat = 8, ntyp = 4
/
ATOMIC_SPECIES
Tm 168.93 Tm.upf
P 30.97 P.upf
S 32.06 S.upf
Ge 72.64 Ge.upf
CELL_PARAMETERS angstrom
-1.798 -3.439 0.611
-0.374 -1.012 -6.803
5.901 -2.665 2.362
ATOMIC_POSITIONS crystal
Tm 0.000 0.754 0.257
Tm 0.500 0.255 0.257
Tm 0.000 0.246 0.743
Tm 0.500 0.745 0.743
P 0.000 0.500 0.500
P 0.500 0.000 0.500
S 0.000 0.000 0.000
Ge 0.500 0.500 0.000
```